Compound: Tb5Pm5Nd
Source: Alexandria via LeMat-Bulk
Functional: PBE
Structure: optimized geometry

a b c (Å): 6.156 6.156 11.710
angles (deg): 90.00 90.00 120.00
Fractional positions:
Tb  0.000  0.000  0.234
Tb  0.000  0.000  0.766
Tb  0.335  0.167  0.000
Tb  0.833  0.167  0.000
Tb  0.833  0.665  0.000
Pm  0.000  0.000  0.500
Pm  0.333  0.667  0.177
Pm  0.333  0.667  0.823
Pm  0.667  0.333  0.343
Pm  0.667  0.333  0.657
Nd  0.333  0.667  0.500

Computed properties:
The symmetry is P-6m2. The calculation puts the density of states at the Fermi level at 19.51 states/eV/cell. For the final energy, the calculation gives -4.406 eV/atom. As for the spin magnetization: 0.00 μB per atom. The value obtained for the calculated formation energy is 0.2913 eV per atom.

=====

Compound: TbPm5Nd
Source: Alexandria via LeMat-Bulk
Functional: PBE
Structure: optimized geometry

a b c (Å): 8.014 8.014 8.014
angles (deg): 136.91 113.67 82.43
Fractional positions:
Tb  0.000  0.000  0.000
Pm  0.177  0.500  0.677
Pm  0.251  0.251  0.000
Pm  0.500  0.000  0.500
Pm  0.749  0.749  0.000
Pm  0.823  0.500  0.323
Nd  0.500  0.500  0.000

Computed properties:
The symmetry is Immm. The calculation puts the energy above the most stable polymorph in this dataset at 78.9 kJ per mole of atoms. The calculation puts the density of states at the Fermi level at 12.65 states/eV/cell. For the final energy, the calculation gives -3.754 eV/atom. As for the spin magnetization: 0.01 μB per atom. The value obtained for the calculated formation energy is 0.9819 eV per atom.

=====

Compound: Tb2Pm2Nd7
Source: Alexandria via LeMat-Bulk
Functional: PBE
Structure: optimized geometry

a b c (Å): 8.705 8.705 15.895
angles (deg): 109.84 109.84 43.07
Fractional positions:
Tb  0.061  0.394  0.295
Tb  0.394  0.061  0.795
Tb  0.606  0.939  0.205
Tb  0.939  0.606  0.705
Pm  0.029  0.696  0.522
Pm  0.304  0.971  0.978
Pm  0.696  0.029  0.022
Pm  0.971  0.304  0.478
Nd  0.119  0.787  0.341
Nd  0.152  0.483  0.114
Nd  0.213  0.881  0.159
Nd  0.242  0.574  0.931
Nd  0.332  0.668  0.750
Nd  0.426  0.758  0.569
Nd  0.483  0.152  0.614
Nd  0.517  0.848  0.386
Nd  0.574  0.242  0.431
Nd  0.668  0.332  0.250
Nd  0.758  0.426  0.069
Nd  0.787  0.119  0.841
Nd  0.848  0.517  0.886
Nd  0.881  0.213  0.659

Computed properties:
The symmetry is C2/c. The calculation puts the energy above the most stable polymorph in this dataset at 0.0 kJ per mole of atoms. The calculation puts the density of states at the Fermi level at 40.06 states/eV/cell. For the final energy, the calculation gives -4.709 eV/atom. As for the spin magnetization: 0.00 μB per atom. The value obtained for the calculated formation energy is 0.0305 eV per atom.

=====

Compound: TbPm3Nd4
Source: Alexandria via LeMat-Bulk
Functional: PBE
Structure: optimized geometry

a b c (Å): 11.828 7.381 6.383
angles (deg): 90.00 90.00 90.00
Fractional positions:
Tb  0.000  0.124  0.000
Tb  0.500  0.876  0.500
Pm  0.000  0.876  0.499
Pm  0.250  0.124  0.668
Pm  0.250  0.876  0.168
Pm  0.500  0.124  0.999
Pm  0.750  0.124  0.668
Pm  0.750  0.876  0.168
Nd  0.000  0.374  0.501
Nd  0.000  0.626  0.999
Nd  0.249  0.374  0.167
Nd  0.251  0.626  0.667
Nd  0.500  0.374  0.499
Nd  0.500  0.626  0.001
Nd  0.749  0.626  0.667
Nd  0.751  0.374  0.167

Computed properties:
The symmetry is Pmn2_1. The calculation puts the energy above the most stable polymorph in this dataset at 0.0 kJ per mole of atoms. The calculation puts the density of states at the Fermi level at 28.05 states/eV/cell. For the final energy, the calculation gives -4.713 eV/atom. As for the spin magnetization: 0.00 μB per atom. The value obtained for the calculated formation energy is 0.0317 eV per atom.

=====

Compound: Tb4Pm3Nd8
Source: Alexandria via LeMat-Bulk
Functional: PBE
Structure: optimized geometry

a b c (Å): 9.341 9.341 6.943
angles (deg): 111.73 111.73 82.13
Fractional positions:
Tb  0.000  0.000  0.000
Tb  0.000  0.000  0.500
Tb  0.000  0.500  0.000
Tb  0.500  0.000  0.000
Pm  0.000  0.500  0.500
Pm  0.500  0.000  0.500
Pm  0.500  0.500  0.000
Nd  0.247  0.247  0.755
Nd  0.247  0.753  0.000
Nd  0.295  0.295  0.300
Nd  0.295  0.705  0.500
Nd  0.705  0.295  0.500
Nd  0.705  0.705  0.700
Nd  0.753  0.247  0.000
Nd  0.753  0.753  0.245

Computed properties:
The symmetry is C2/m. The calculation puts the density of states at the Fermi level at 24.02 states/eV/cell. For the final energy, the calculation gives -4.406 eV/atom. As for the spin magnetization: 0.00 μB per atom. The value obtained for the calculated formation energy is 0.3212 eV per atom.

=====

Compound: Tb2Pm5Nd6
Source: Alexandria via LeMat-Bulk
Functional: PBE
Structure: optimized geometry

a b c (Å): 11.853 20.927 3.660
angles (deg): 90.00 90.00 90.00
Fractional positions:
Tb  0.170  0.211  0.000
Tb  0.330  0.711  0.000
Tb  0.670  0.289  0.000
Tb  0.830  0.789  0.000
Pm  0.000  0.500  0.500
Pm  0.087  0.774  0.500
Pm  0.198  0.054  0.500
Pm  0.302  0.554  0.500
Pm  0.413  0.274  0.500
Pm  0.500  0.000  0.500
Pm  0.587  0.726  0.500
Pm  0.698  0.446  0.500
Pm  0.802  0.946  0.500
Pm  0.913  0.226  0.500
Nd  0.061  0.920  0.000
Nd  0.082  0.632  0.000
Nd  0.175  0.363  0.500
Nd  0.325  0.863  0.500
Nd  0.418  0.132  0.000
Nd  0.439  0.420  0.000
Nd  0.561  0.580  0.000
Nd  0.582  0.868  0.000
Nd  0.675  0.137  0.500
Nd  0.825  0.637  0.500
Nd  0.918  0.368  0.000
Nd  0.939  0.080  0.000

Computed properties:
The symmetry is Pbam. The calculation puts the density of states at the Fermi level at 31.10 states/eV/cell. For the final energy, the calculation gives -4.649 eV/atom. As for the spin magnetization: 0.00 μB per atom. The value obtained for the calculated formation energy is 0.0913 eV per atom.

=====

Compound: Tb12Pm5Nd2
Source: Alexandria via LeMat-Bulk
Functional: PBE
Structure: optimized geometry

a b c (Å): 9.142 9.142 8.716
angles (deg): 91.86 91.86 61.41
Fractional positions:
Tb  0.058  0.058  0.338
Tb  0.061  0.679  0.333
Tb  0.172  0.530  0.759
Tb  0.321  0.939  0.667
Tb  0.424  0.424  0.124
Tb  0.470  0.828  0.241
Tb  0.530  0.172  0.759
Tb  0.576  0.576  0.876
Tb  0.679  0.061  0.333
Tb  0.828  0.470  0.241
Tb  0.939  0.321  0.667
Tb  0.942  0.942  0.662
Pm  0.207  0.207  0.022
Pm  0.270  0.270  0.428
Pm  0.500  0.500  0.500
Pm  0.730  0.730  0.572
Pm  0.793  0.793  0.978
Nd  0.174  0.826  0.000
Nd  0.826  0.174  0.000

Computed properties:
The symmetry is C2/m. The calculation puts the energy above the most stable polymorph in this dataset at 7.4 kJ per mole of atoms. The calculation puts the density of states at the Fermi level at 26.56 states/eV/cell. For the final energy, the calculation gives -4.549 eV/atom. As for the spin magnetization: 0.00 μB per atom. The value obtained for the calculated formation energy is 0.1272 eV per atom.

=====

Compound: Tb7PmNd4
Source: Alexandria via LeMat-Bulk
Functional: PBE
Structure: optimized geometry

a b c (Å): 6.603 6.906 9.156
angles (deg): 85.39 77.26 82.12
Fractional positions:
Tb  0.000  0.000  0.000
Tb  0.189  0.605  0.384
Tb  0.319  0.198  0.641
Tb  0.487  0.749  0.051
Tb  0.513  0.251  0.949
Tb  0.681  0.802  0.359
Tb  0.811  0.395  0.616
Pm  0.000  0.500  0.000
Nd  0.162  0.112  0.310
Nd  0.361  0.692  0.716
Nd  0.639  0.308  0.284
Nd  0.838  0.888  0.690

Computed properties:
The symmetry is P-1. The calculation puts the energy above the most stable polymorph in this dataset at 0.0 kJ per mole of atoms. The calculation puts the density of states at the Fermi level at 19.72 states/eV/cell. For the final energy, the calculation gives -4.602 eV/atom. As for the spin magnetization: 0.00 μB per atom. The value obtained for the calculated formation energy is 0.0844 eV per atom.

=====

Compound: Tb2Pm9Nd
Source: Alexandria via LeMat-Bulk
Functional: PBE
Structure: optimized geometry

a b c (Å): 5.141 5.141 15.426
angles (deg): 90.00 90.00 90.00
Fractional positions:
Tb  0.000  0.000  0.166
Tb  0.000  0.000  0.834
Pm  0.000  0.500  0.000
Pm  0.000  0.500  0.332
Pm  0.000  0.500  0.668
Pm  0.500  0.000  0.000
Pm  0.500  0.000  0.332
Pm  0.500  0.000  0.668
Pm  0.500  0.500  0.165
Pm  0.500  0.500  0.500
Pm  0.500  0.500  0.835
Nd  0.000  0.000  0.500

Computed properties:
The symmetry is P4/mmm. The calculation puts the density of states at the Fermi level at 19.94 states/eV/cell. For the final energy, the calculation gives -4.716 eV/atom. As for the spin magnetization: 0.00 μB per atom. The value obtained for the calculated formation energy is 0.0161 eV per atom.

=====

Compound: TbPm6Nd2
Source: Alexandria via LeMat-Bulk
Functional: PBE
Structure: optimized geometry

a b c (Å): 10.146 10.146 3.657
angles (deg): 90.00 90.00 124.17
Fractional positions:
Tb  0.000  0.000  0.000
Pm  0.161  0.487  0.000
Pm  0.317  0.317  0.500
Pm  0.487  0.161  0.000
Pm  0.513  0.839  0.000
Pm  0.683  0.683  0.500
Pm  0.839  0.513  0.000
Nd  0.179  0.821  0.500
Nd  0.821  0.179  0.500

Computed properties:
The symmetry is Cmmm. The calculation puts the energy above the most stable polymorph in this dataset at 1.9 kJ per mole of atoms. The calculation puts the density of states at the Fermi level at 13.72 states/eV/cell. For the final energy, the calculation gives -4.609 eV/atom. As for the spin magnetization: 0.00 μB per atom. The value obtained for the calculated formation energy is 0.1322 eV per atom.